The following is a PBE calculation of a relaxed structure of TbB4Ir4, from Alexandria via LeMat-Bulk.

Unit cell a=5.408 b=5.408 c=7.488 alpha=90.00 beta=90.00 gamma=90.00
Sites, in units of the cell vectors:
B  0.000  0.328  0.654
B  0.828  0.500  0.154
B  0.172  0.500  0.154
B  0.672  0.000  0.346
B  0.000  0.672  0.654
B  0.500  0.172  0.846
B  0.500  0.828  0.846
B  0.328  0.000  0.346
Ir  0.000  0.249  0.356
Ir  0.751  0.000  0.644
Ir  0.249  0.000  0.644
Ir  0.500  0.251  0.144
Ir  0.000  0.751  0.356
Ir  0.500  0.749  0.144
Ir  0.749  0.500  0.856
Ir  0.251  0.500  0.856
Tb  0.000  0.000  0.000
Tb  0.500  0.500  0.500

* magnetization: 0.00 μB per atom
* ΔH_f (0 K): -0.50 eV/atom
* calculated volume: 219.0 Å³/cell